#a
Compound: Cd3IrO
Source: Alexandria via LeMat-Bulk
Functional: PBE
Structure: relaxed

Lattice parameters (Å, degrees): 5.161 5.161 5.161 90.00 90.00 90.00
Space group Pm-3m (No. 221)
Unique sites:
Cd (0.000, 0.000, 0.500)
Ir (0.000, 0.000, 0.000)
O (0.500, 0.500, 0.500)

density	6.59	Mg/m³

***

#b
Compound: Cd3IrO
Source: Alexandria via LeMat-Bulk
Functional: PBE
Structure: relaxed

Lattice parameters (Å, degrees): 4.480 4.480 4.480 90.00 90.00 90.00
Space group Pm-3m (No. 221)
Unique sites:
Cd (0.000, 0.000, 0.500)
Ir (0.500, 0.500, 0.500)
O (0.000, 0.000, 0.000)

density	10.07	Mg/m³

***

Result of the stability comparison: #a is the least stable of them.